! UCu2I8 (PBE, relaxed); values from VASP
! Relative energy among the computed polymorphs (eV/atom): 0.0161
! Formation energy (no corrections) (eV per atom): -0.433
&SYSTEM
  ibrav = 0, nat = 11, ntyp = 3
/
ATOMIC_SPECIES
I 126.90 I.upf
Cu 63.55 Cu.upf
U 238.03 U.upf
ATOMIC_POSITIONS angstrom
I 2.455 1.231 0.860
I 7.365 8.223 2.799
I 3.644 7.272 5.080
Cu 6.264 2.070 1.446
I 6.603 9.991 6.979
I 7.365 5.458 6.757
I 1.692 2.999 5.039
I 5.413 3.949 2.759
U 0.000 0.000 0.000
Cu 2.794 9.151 6.393
I 1.692 5.763 1.081
CELL_PARAMETERS angstrom
7.801 -0.398 -0.278
0.628 8.414 0.331
0.628 3.206 7.786